# 1
12
Lattice="-3.748 -6.096 -0.034 2.172 2.906 -6.168 6.378 -2.533 2.438" Properties=species:S:1:pos:R:3 comment="GGA-PBE Ca2Sm3HoSe6, relaxed" volume_a3_per_fu=304.9 dos_ef_per_ev_atom=0.4166 final_energy_ev_per_atom=-5.49 pbc="T T T"
Se 0.176 -2.875 0.078
Se 0.391 -3.029 -4.068
Se 2.126 0.091 -1.943
Se 2.676 -5.813 -1.821
Se 4.626 -2.847 -3.842
Se 4.411 -2.693 0.305
Sm 4.346 0.097 -3.897
Sm 2.401 -2.861 -1.882
Sm 0.456 -5.819 0.134
Ho 0.000 0.000 0.000
Ca -1.773 -3.093 -2.080
Ca 0.197 -0.096 -4.122

# 2
8
Lattice="4.148 0.000 0.000 0.000 7.330 -0.196 0.000 2.528 6.720" Properties=species:S:1:pos:R:3 comment="GGA-PBE SrCaHo2Se4, relaxed" volume_a3_per_fu=206.4 dos_ef_per_ev_atom=0.4370 final_energy_ev_per_atom=-5.20 pbc="T T T"
Ho 2.074 1.264 3.360
Ho 0.000 2.528 6.720
Se 2.074 3.639 4.981
Se 2.074 6.220 1.543
Se 0.000 7.485 4.818
Se 4.148 2.373 1.706
Ca 0.000 4.929 3.262
Sr 2.074 6.194 6.622